Entry 1:
First-principles (GGA-PBE) data for crystalline Zr2Sc at its relaxed geometry, as listed in Alexandria via LeMat-Bulk.

Computed properties:
* Fermi-level density of states: 1.455 states/eV/atom
* SG: Immm
* formation energy from the elements: 0.486 eV/f.u.

Lattice parameters (Å, degrees): 3.046 5.081 9.343 90.00 90.00 90.00
Fractional positions:
Zr 0.000 0.000 0.192
Zr 0.000 0.000 0.808
Zr 0.500 0.500 0.308
Zr 0.500 0.500 0.692
Sc 0.000 0.500 0.000
Sc 0.500 0.000 0.500



Entry 2:
First-principles (GGA-PBE) data for crystalline Tm2PuScP4 at its relaxed geometry, as listed in Alexandria via LeMat-Bulk.

Computed properties:
* Fermi-level density of states: 1.335 states/eV/atom
* SG: P2/m
* formation energy from the elements: -11.531 eV/f.u.

Lattice parameters (Å, degrees): 6.753 3.924 6.768 90.00 109.48 90.00
Fractional positions:
Tm 0.000 0.000 0.000
Tm 0.500 0.500 0.000
Pu 0.000 0.500 0.500
Sc 0.500 0.000 0.500
P 0.253 0.000 0.745
P 0.257 0.500 0.258
P 0.743 0.500 0.742
P 0.747 0.000 0.255